[1]
Below is an optimized crystal structure of Zn3N2, with properties calculated at the GGA-PBEsol level.

Output
The energy above the most stable polymorph in this dataset comes out at 13 meV per atom. The energy relative to the elements, uncorrected comes out at 0.1 eV per formula unit. The value obtained for the total energy is -4.333 eV per atom. The calculation puts the total magnetic moment at 0.00 μB/f.u.

a = 3.3616 Å, b = 3.3616 Å, c = 11.8380 Å
α = 90.00°, β = 90.00°, γ = 120.00°
Atoms (fractional coordinates):
Zn 0.0000 0.0000 0.2500
Zn 0.0000 0.0000 0.7500
Zn 0.3333 0.6667 0.0789
Zn 0.3333 0.6667 0.4211
Zn 0.6667 0.3333 0.5789
Zn 0.6667 0.3333 0.9211
N 0.0000 0.0000 0.0000
N 0.0000 0.0000 0.5000
N 0.3333 0.6667 0.2500
N 0.6667 0.3333 0.7500

***

[2]
Below is an optimized crystal structure of Mn2AgW, with properties calculated at the GGA-PBEsol level.

Output
The value obtained for the total energy is -8.716 eV per atom. Its formation energy from the elements is 0.4440 eV per atom. The calculation puts the total magnetic moment at 0.11 μB/f.u.

a = 8.9249 Å, b = 8.9249 Å, c = 8.9249 Å
α = 17.16°, β = 17.16°, γ = 17.16°
Atoms (fractional coordinates):
Mn 0.0000 0.0000 0.0000
Mn 0.2671 0.2671 0.2671
Ag 0.5123 0.5123 0.5123
W 0.7502 0.7502 0.7502

***

[3]
Below is an optimized crystal structure of TaTeIr, with properties calculated at the GGA-PBEsol level.

Output
The energy relative to the elements, uncorrected comes out at 0.7 eV per formula unit. The value obtained for the total energy is -8.397 eV per atom. The calculation puts the total magnetic moment at 0.00 μB/f.u.

a = 4.5519 Å, b = 4.5519 Å, c = 2.9462 Å
α = 90.00°, β = 90.00°, γ = 120.00°
Atoms (fractional coordinates):
Ta 0.0000 0.0000 0.0000
Te 0.3333 0.6667 0.5001
Ir 0.6667 0.3333 0.4731

***

[4]
Below is an optimized crystal structure of SrInN2F, with properties calculated at the GGA-PBEsol level.

Output
The energy relative to the elements, uncorrected comes out at -2.6 eV per formula unit. The value obtained for the total energy is -5.286 eV per atom. The calculation puts the total magnetic moment at 0.76 μB/f.u.

a = 4.1426 Å, b = 4.1426 Å, c = 4.4304 Å
α = 90.00°, β = 90.00°, γ = 90.00°
Atoms (fractional coordinates):
Sr 0.0000 0.0000 0.0000
In 0.5000 0.5000 0.5000
N 0.0000 0.5000 0.5000
N 0.5000 0.0000 0.5000
F 0.5000 0.5000 0.0000

***

[5]
Below is an optimized crystal structure of Cs4KLiGa2F12, with properties calculated at the GGA-PBEsol level.

Output
The energy relative to the elements, uncorrected comes out at -57.3 eV per formula unit. The value obtained for the total energy is -4.697 eV per atom. The calculation puts the total magnetic moment at 0.30 μB/f.u.

a = 10.8219 Å, b = 10.8219 Å, c = 10.8219 Å
α = 33.68°, β = 33.68°, γ = 33.68°
Atoms (fractional coordinates):
Cs 0.1327 0.1327 0.1327
Cs 0.2861 0.2861 0.2861
Cs 0.7139 0.7139 0.7139
Cs 0.8673 0.8673 0.8673
K 0.0000 0.0000 0.0000
Li 0.5000 0.5000 0.5000
Ga 0.4158 0.4158 0.4158
Ga 0.5842 0.5842 0.5842
F 0.1789 0.5945 0.5945
F 0.2370 0.2370 0.6716
F 0.2370 0.6716 0.2370
F 0.3284 0.7630 0.7630
F 0.4055 0.4055 0.8211
F 0.4055 0.8211 0.4055
F 0.5945 0.1789 0.5945
F 0.5945 0.5945 0.1789
F 0.6716 0.2370 0.2370
F 0.7630 0.3284 0.7630
F 0.7630 0.7630 0.3284
F 0.8211 0.4055 0.4055

***

[6]
Below is an optimized crystal structure of MgSb2P, with properties calculated at the GGA-PBEsol level.

Output
The energy above the most stable polymorph in this dataset comes out at 53 meV per atom. The energy relative to the elements, uncorrected comes out at 0.2 eV per formula unit. The value obtained for the total energy is -4.104 eV per atom. The calculation puts the total magnetic moment at 0.00 μB/f.u.

a = 5.9416 Å, b = 5.9416 Å, c = 5.1268 Å
α = 115.44°, β = 115.44°, γ = 33.58°
Atoms (fractional coordinates):
Mg 0.0000 0.0000 0.0000
Sb 0.5776 0.5776 0.5850
Sb 0.7979 0.7979 0.3049
P 0.2945 0.2945 0.8936

***

[7]
Below is an optimized crystal structure of Ho2ZnGa, with properties calculated at the GGA-PBEsol level.

Output
The value obtained for the total energy is -4.212 eV per atom. Its formation energy from the elements is -0.5065 eV per atom. The calculation puts the total magnetic moment at 0.00 μB/f.u.

a = 4.9351 Å, b = 4.9351 Å, c = 4.9351 Å
α = 60.00°, β = 60.00°, γ = 60.00°
Atoms (fractional coordinates):
Ho 0.2500 0.2500 0.2500
Ho 0.7500 0.7500 0.7500
Zn 0.0000 0.0000 0.0000
Ga 0.5000 0.5000 0.5000

***

[8]
Below is an optimized crystal structure of Ca2IrPb, with properties calculated at the GGA-PBEsol level.

Output
The value obtained for the total energy is -4.719 eV per atom. Its formation energy from the elements is -0.1965 eV per atom. The calculation puts the total magnetic moment at 0.00 μB/f.u.

a = 4.8133 Å, b = 4.8133 Å, c = 3.9223 Å
α = 90.00°, β = 90.00°, γ = 90.00°
Atoms (fractional coordinates):
Ca 0.0000 0.5000 0.0000
Ca 0.5000 0.0000 0.0000
Ir 0.0000 0.0000 0.5000
Pb 0.5000 0.5000 0.5000